No. 1
First-principles (PBE) data for a relaxed structure of Ce5DySe8, as listed in Alexandria via LeMat-Bulk.

The structure in extended XYZ format:
```
14
Lattice="-4.429 4.429 4.462 4.429 -4.429 4.462 4.429 4.429 -4.462" Properties=species:S:1:pos:R:3 pbc="T T T"
Ce 0.000 0.000 0.000
Ce 5.530 2.213 -1.120
Ce 2.213 3.327 1.120
Ce -1.102 2.215 3.342
Ce 2.215 1.102 5.583
Dy 4.429 0.000 2.231
Se 2.892 0.673 -0.419
Se 2.834 3.777 -1.800
Se 1.595 0.652 2.662
Se 3.756 -1.537 4.881
Se 5.080 2.834 1.800
Se 0.673 5.965 0.419
Se 1.537 3.756 4.043
Se -0.652 1.595 6.262
```

Formation energy without anion corrections, eV per atom: -1.83
VASP energy, eV/atom: -6.27
SG: I-4
Crystal system: tetragonal

---

No. 2
First-principles (PBE) data for a relaxed structure of Li2CaSb2Au2, as listed in Alexandria via LeMat-Bulk.

The structure in extended XYZ format:
```
7
Lattice="2.309 1.333 8.259 -2.309 1.333 8.259 0.000 -2.667 8.259" Properties=species:S:1:pos:R:3 pbc="T T T"
Li 0.000 0.000 3.475
Li 0.000 0.000 21.302
Ca 0.000 0.000 0.000
Sb 0.000 0.000 6.342
Sb 0.000 0.000 18.434
Au 0.000 0.000 10.830
Au 0.000 0.000 13.947
```

Formation energy without anion corrections, eV per atom: -0.65
VASP energy, eV/atom: -3.60
SG: R-3m
Crystal system: trigonal